# 1
Ni3Rh: relaxed, GGA-PBEsol.

Calculated values
symmetry	Pnma, No. 62
spin magnetization	9.92	Bohr magnetons per cell
crystal system	orthorhombic
raw total energy	-6.61	eV per atom
E_form	0.044	eV per atom
D(E_F)	27.14	states/eV/cell

```
Ni3Rh
1.0
4.3955 0.0000 0.0000
0.0000 8.2061 0.0000
0.0000 0.0000 5.0149
Ni Rh
12 4
direct
0.0824 0.2500 0.1277
0.2456 0.5023 0.8740
0.2456 0.9977 0.8740
0.2544 0.0023 0.3740
0.2544 0.4977 0.3740
0.4176 0.7500 0.6277
0.5824 0.2500 0.3723
0.7456 0.5023 0.6260
0.7456 0.9977 0.6260
0.7544 0.0023 0.1260
0.7544 0.4977 0.1260
0.9176 0.7500 0.8723
0.0767 0.2500 0.6216
0.4233 0.7500 0.1216
0.5767 0.2500 0.8784
0.9233 0.7500 0.3784
```

---

# 2
Ni3Rh: relaxed, GGA-PBEsol.

Calculated values
symmetry	Pmmm, No. 47
spin magnetization	2.70	Bohr magnetons per cell
crystal system	orthorhombic
raw total energy	-6.61	eV per atom
E_form	0.046	eV per atom
D(E_F)	6.92	states/eV/cell

```
Ni3Rh
1.0
2.5468 0.0000 0.0000
0.0000 3.5302 0.0000
0.0000 0.0000 5.0305
Ni Rh
3 1
direct
0.0000 0.0000 0.0000
0.5000 0.5000 0.2414
0.5000 0.5000 0.7586
0.0000 0.0000 0.5000
```

---

# 3
NiRh: relaxed, GGA-PBEsol.

Calculated values
symmetry	I4_1/amd, No. 141
spin magnetization	0.00	Bohr magnetons per cell
crystal system	tetragonal
raw total energy	-7.13	eV per atom
E_form	0.020	eV per atom
D(E_F)	5.81	states/eV/cell

```
NiRh
1.0
-1.7992 1.7992 3.6983
1.7992 -1.7992 3.6983
1.7992 1.7992 -3.6983
Ni Rh
2 2
direct
0.3750 0.6250 0.7500
0.6250 0.3750 0.2500
0.1250 0.8750 0.2500
0.8750 0.1250 0.7500
```

---

# 4
NiRh4: relaxed, GGA-PBEsol.

Calculated values
symmetry	R-3m, No. 166
spin magnetization	0.67	Bohr magnetons per cell
energy above the lowest structure with this stoichiometry	9.2	meV per atom
crystal system	trigonal
raw total energy	-7.71	eV per atom
E_form	0.034	eV per atom
D(E_F)	7.08	states/eV/cell

```
NiRh4
1.0
1.3263 0.7658 10.6425
-1.3263 0.7658 10.6425
0.0000 -1.5315 10.6425
Ni Rh
1 4
direct
0.0000 0.0000 0.0000
0.2009 0.2009 0.2009
0.3973 0.3973 0.3973
0.6027 0.6027 0.6027
0.7991 0.7991 0.7991
```

---

# 5
Ni2Rh3: relaxed, GGA-PBEsol.

Calculated values
symmetry	Immm, No. 71
spin magnetization	0.95	Bohr magnetons per cell
energy above the lowest structure with this stoichiometry	15.9	meV per atom
crystal system	orthorhombic
raw total energy	-7.30	eV per atom
E_form	0.048	eV per atom
D(E_F)	8.47	states/eV/cell

```
Ni2Rh3
1.0
-1.3138 1.8323 6.4247
1.3138 -1.8323 6.4247
1.3138 1.8323 -6.4247
Ni Rh
2 3
direct
0.2028 0.2028 0.0000
0.7972 0.7972 0.0000
0.0000 0.0000 0.0000
0.3948 0.3948 0.0000
0.6052 0.6052 0.0000
```

---

# 6
NiRh: relaxed, GGA-PBEsol.

Calculated values
symmetry	P4/nmm, No. 129
spin magnetization	1.05	Bohr magnetons per cell
crystal system	tetragonal
raw total energy	-7.09	eV per atom
E_form	0.058	eV per atom
D(E_F)	7.25	states/eV/cell

```
NiRh
1.0
2.6276 0.0000 0.0000
0.0000 2.6276 0.0000
0.0000 0.0000 6.9648
Ni Rh
2 2
direct
0.2500 0.2500 0.1137
0.7500 0.7500 0.8863
0.2500 0.2500 0.6348
0.7500 0.7500 0.3652
```

---

# 7
Ni2Rh3: relaxed, GGA-PBEsol.

Calculated values
symmetry	C2/m, No. 12
spin magnetization	0.01	Bohr magnetons per cell
energy above the lowest structure with this stoichiometry	0.0	meV per atom
crystal system	monoclinic
raw total energy	-7.31	eV per atom
E_form	0.033	eV per atom
D(E_F)	7.78	states/eV/cell

```
Ni2Rh3
1.0
4.0603 -1.8295 0.0000
4.0603 1.8295 0.0000
-3.9941 0.0000 4.1440
Ni Rh
2 3
direct
0.1013 0.1013 0.2994
0.8987 0.8987 0.7006
0.3009 0.3009 0.8964
0.5000 0.5000 0.5000
0.6991 0.6991 0.1036
```

---

# 8
Ni2Rh: relaxed, GGA-PBEsol.

Calculated values
symmetry	Fd-3m, No. 227
spin magnetization	4.90	Bohr magnetons per cell
crystal system	cubic
raw total energy	-6.71	eV per atom
E_form	0.104	eV per atom
D(E_F)	5.87	states/eV/cell

```
Ni2Rh
1.0
0.0000 3.2640 3.2640
3.2640 0.0000 3.2640
3.2640 3.2640 0.0000
Ni Rh
4 2
direct
0.0000 0.0000 0.0000
0.0000 0.0000 0.5000
0.0000 0.5000 0.0000
0.5000 0.0000 0.0000
0.3750 0.3750 0.3750
0.6250 0.6250 0.6250
```

---

# 9
Ni7Rh: relaxed, GGA-PBEsol.

Calculated values
symmetry	Fm-3m, No. 225
spin magnetization	5.18	Bohr magnetons per cell
crystal system	cubic
raw total energy	-6.38	eV per atom
E_form	0.030	eV per atom
D(E_F)	14.18	states/eV/cell

```
Ni7Rh
1.0
0.0000 3.5121 3.5121
3.5121 0.0000 3.5121
3.5121 3.5121 0.0000
Ni Rh
7 1
direct
0.0000 0.0000 0.0000
0.0000 0.0000 0.5000
0.0000 0.5000 0.0000
0.0000 0.5000 0.5000
0.5000 0.0000 0.0000
0.5000 0.0000 0.5000
0.5000 0.5000 0.0000
0.5000 0.5000 0.5000
```

---

# 10
Ni3Rh: relaxed, GGA-PBEsol.

Calculated values
symmetry	Pmm2, No. 25
spin magnetization	2.70	Bohr magnetons per cell
crystal system	orthorhombic
raw total energy	-6.59	eV per atom
E_form	0.061	eV per atom
D(E_F)	6.95	states/eV/cell

```
Ni3Rh
1.0
2.5581 0.0000 0.0000
0.0000 4.0908 0.0000
0.0000 0.0000 4.3401
Ni Rh
3 1
direct
0.0000 0.0000 0.0000
0.0000 0.5000 0.3289
0.5000 0.0000 0.4878
0.5000 0.5000 0.8292
```

---

# 11
Ni2Rh: relaxed, GGA-PBEsol.

Calculated values
symmetry	P4/nmm, No. 129
spin magnetization	2.64	Bohr magnetons per cell
crystal system	tetragonal
raw total energy	-6.76	eV per atom
E_form	0.058	eV per atom
D(E_F)	10.77	states/eV/cell

```
Ni2Rh
1.0
2.5860 0.0000 0.0000
0.0000 2.5860 0.0000
0.0000 0.0000 10.3378
Ni Rh
4 2
direct
0.2500 0.2500 0.0773
0.2500 0.2500 0.7661
0.7500 0.7500 0.2339
0.7500 0.7500 0.9227
0.2500 0.2500 0.4078
0.7500 0.7500 0.5922
```

---

# 12
Ni2Rh: relaxed, GGA-PBEsol.

Calculated values
symmetry	Pmmm, No. 47
spin magnetization	2.64	Bohr magnetons per cell
crystal system	orthorhombic
raw total energy	-6.76	eV per atom
E_form	0.058	eV per atom
D(E_F)	11.60	states/eV/cell

```
Ni2Rh
1.0
2.5725 0.0000 0.0000
0.0000 3.5182 0.0000
0.0000 0.0000 7.6426
Ni Rh
4 2
direct
0.0000 0.0000 0.0000
0.0000 0.0000 0.3410
0.0000 0.0000 0.6590
0.5000 0.5000 0.5000
0.5000 0.5000 0.1721
0.5000 0.5000 0.8279
```

---

# 13
NiRh: relaxed, GGA-PBEsol.

Calculated values
symmetry	P4mm, No. 99
spin magnetization	1.89	Bohr magnetons per cell
crystal system	tetragonal
raw total energy	-7.09	eV per atom
E_form	0.062	eV per atom
D(E_F)	11.10	states/eV/cell

```
NiRh
1.0
2.6176 0.0000 0.0000
0.0000 2.6176 0.0000
0.0000 0.0000 10.5211
Ni Rh
3 3
direct
0.0000 0.0000 0.0000
0.0000 0.0000 0.3329
0.5000 0.5000 0.4851
0.0000 0.0000 0.6525
0.5000 0.5000 0.1670
0.5000 0.5000 0.8317
```

---

# 14
NiRh4: relaxed, GGA-PBEsol.

Calculated values
symmetry	I4/mmm, No. 139
spin magnetization	0.00	Bohr magnetons per cell
energy above the lowest structure with this stoichiometry	2.2	meV per atom
crystal system	tetragonal
raw total energy	-7.72	eV per atom
E_form	0.027	eV per atom
D(E_F)	7.13	states/eV/cell

```
NiRh4
1.0
-1.3311 1.3311 9.1089
1.3311 -1.3311 9.1089
1.3311 1.3311 -9.1089
Ni Rh
1 4
direct
0.0000 0.0000 0.0000
0.1980 0.1980 0.0000
0.4053 0.4053 0.0000
0.5947 0.5947 0.0000
0.8020 0.8020 0.0000
```

---

# 15
NiRh: relaxed, GGA-PBEsol.

Calculated values
symmetry	Pnma, No. 62
spin magnetization	3.00	Bohr magnetons per cell
crystal system	orthorhombic
raw total energy	-7.08	eV per atom
E_form	0.063	eV per atom
D(E_F)	14.75	states/eV/cell

```
NiRh
1.0
4.4932 0.0000 0.0000
0.0000 4.1992 0.0000
0.0000 0.0000 5.1134
Ni Rh
4 4
direct
0.0810 0.2500 0.1248
0.4190 0.7500 0.6248
0.5810 0.2500 0.3752
0.9190 0.7500 0.8752
0.0917 0.2500 0.6265
0.4083 0.7500 0.1265
0.5917 0.2500 0.8735
0.9083 0.7500 0.3735
```

---

# 16
NiRh5: relaxed, GGA-PBEsol.

Calculated values
symmetry	P-3m1, No. 164
spin magnetization	0.51	Bohr magnetons per cell
crystal system	trigonal
raw total energy	-6.94	eV per atom
E_form	0.871	eV per atom
D(E_F)	11.09	states/eV/cell

```
NiRh5
1.0
3.3286 0.0000 0.0000
-1.6643 2.8827 0.0000
0.0000 0.0000 9.3021
Ni Rh
1 5
direct
0.0000 0.0000 0.0000
0.0000 0.0000 0.5000
0.3333 0.6667 0.1539
0.3333 0.6667 0.6680
0.6667 0.3333 0.3320
0.6667 0.3333 0.8461
```

---

# 17
NiRh5: relaxed, GGA-PBEsol.

Calculated values
symmetry	P2/m, No. 10
spin magnetization	0.03	Bohr magnetons per cell
crystal system	monoclinic
raw total energy	-7.77	eV per atom
E_form	0.037	eV per atom
D(E_F)	9.22	states/eV/cell

```
NiRh5
1.0
4.5651 0.0000 0.0000
0.0000 2.6593 0.0000
-0.0428 0.0000 6.4540
Ni Rh
1 5
direct
0.0000 0.0000 0.0000
0.1632 0.5000 0.3264
0.3330 0.0000 0.6660
0.5000 0.5000 0.0000
0.6670 0.0000 0.3340
0.8368 0.5000 0.6736
```

---

# 18
Ni4Rh5: relaxed, GGA-PBEsol.

Calculated values
symmetry	I4/mmm, No. 139
spin magnetization	4.56	Bohr magnetons per cell
crystal system	tetragonal
raw total energy	-7.19	eV per atom
E_form	0.072	eV per atom
D(E_F)	13.60	states/eV/cell

```
Ni4Rh5
1.0
-3.8739 3.8739 1.8444
3.8739 -3.8739 1.8444
3.8739 3.8739 -1.8444
Ni Rh
4 5
direct
0.0000 0.3379 0.3379
0.0000 0.6621 0.6621
0.3379 0.0000 0.3379
0.6621 0.0000 0.6621
0.0000 0.0000 0.0000
0.3317 0.3317 0.6634
0.3317 0.6683 0.0000
0.6683 0.3317 0.0000
0.6683 0.6683 0.3366
```

---

# 19
NiRh4: relaxed, GGA-PBEsol.

Calculated values
symmetry	I4/m, No. 87
spin magnetization	0.00	Bohr magnetons per cell
energy above the lowest structure with this stoichiometry	0.0	meV per atom
crystal system	tetragonal
raw total energy	-7.72	eV per atom
E_form	0.025	eV per atom
D(E_F)	7.48	states/eV/cell

```
NiRh4
1.0
-2.9481 2.9481 1.8597
2.9481 -2.9481 1.8597
2.9481 2.9481 -1.8597
Ni Rh
1 4
direct
0.0000 0.0000 0.0000
0.2019 0.3987 0.6005
0.3987 0.7981 0.1968
0.6013 0.2019 0.8032
0.7981 0.6013 0.3995
```

---

# 20
NiRh: relaxed, GGA-PBEsol.

Calculated values
symmetry	P-6m2, No. 187
spin magnetization	1.46	Bohr magnetons per cell
crystal system	hexagonal
raw total energy	-7.06	eV per atom
E_form	0.085	eV per atom
D(E_F)	3.17	states/eV/cell

```
NiRh
1.0
2.6193 0.0000 0.0000
-1.3097 2.2684 0.0000
0.0000 0.0000 4.1328
Ni Rh
1 1
direct
0.0000 0.0000 0.0000
0.6667 0.3333 0.5000
```

---

# 21
Ni2Rh: relaxed, GGA-PBEsol.

Calculated values
symmetry	Pmmn, No. 59
spin magnetization	2.59	Bohr magnetons per cell
crystal system	orthorhombic
raw total energy	-6.76	eV per atom
E_form	0.054	eV per atom
D(E_F)	10.58	states/eV/cell

```
Ni2Rh
1.0
2.5752 0.0000 0.0000
0.0000 3.5586 0.0000
0.0000 0.0000 7.5634
Ni Rh
4 2
direct
0.2500 0.2500 0.0784
0.2500 0.2500 0.7622
0.7500 0.7500 0.2378
0.7500 0.7500 0.9216
0.2500 0.2500 0.4088
0.7500 0.7500 0.5912
```

---

# 22
Ni2Rh: relaxed, GGA-PBEsol.

Calculated values
symmetry	P-3m1, No. 164
spin magnetization	3.80	Bohr magnetons per cell
crystal system	trigonal
raw total energy	-6.74	eV per atom
E_form	0.075	eV per atom
D(E_F)	10.57	states/eV/cell

```
Ni2Rh
1.0
2.5702 0.0000 0.0000
-1.2851 2.2259 0.0000
0.0000 0.0000 12.2543
Ni Rh
4 2
direct
0.0000 0.0000 0.0000
0.0000 0.0000 0.5000
0.3333 0.6667 0.1587
0.6667 0.3333 0.8413
0.3333 0.6667 0.6710
0.6667 0.3333 0.3290
```

---

# 23
Ni3Rh: relaxed, GGA-PBEsol.

Calculated values
symmetry	Cmmm, No. 65
spin magnetization	2.50	Bohr magnetons per cell
crystal system	orthorhombic
raw total energy	-6.61	eV per atom
E_form	0.047	eV per atom
D(E_F)	6.51	states/eV/cell

```
Ni3Rh
1.0
2.5197 -3.5381 0.0000
2.5197 3.5381 0.0000
0.0000 0.0000 2.5417
Ni Rh
3 1
direct
0.0000 0.0000 0.0000
0.0000 0.5000 0.5000
0.5000 0.0000 0.5000
0.5000 0.5000 0.0000
```

---

# 24
NiRh5: relaxed, GGA-PBEsol.

Calculated values
symmetry	P4/mmm, No. 123
spin magnetization	0.01	Bohr magnetons per cell
crystal system	tetragonal
raw total energy	-7.79	eV per atom
E_form	0.023	eV per atom
D(E_F)	8.47	states/eV/cell

```
NiRh5
1.0
2.6629 0.0000 0.0000
0.0000 2.6629 0.0000
0.0000 0.0000 11.0099
Ni Rh
1 5
direct
0.0000 0.0000 0.0000
0.0000 0.0000 0.3275
0.0000 0.0000 0.6725
0.5000 0.5000 0.1569
0.5000 0.5000 0.5000
0.5000 0.5000 0.8431
```

---

# 25
Ni3Rh: relaxed, GGA-PBEsol.

Calculated values
symmetry	C2/m, No. 12
spin magnetization	2.60	Bohr magnetons per cell
crystal system	monoclinic
raw total energy	-6.62	eV per atom
E_form	0.037	eV per atom
D(E_F)	5.87	states/eV/cell

```
Ni3Rh
1.0
4.1700 -1.2741 0.0000
4.1700 1.2741 0.0000
-0.7926 0.0000 4.2579
Ni Rh
3 1
direct
0.0000 0.0000 0.0000
0.2519 0.2519 0.7554
0.7481 0.7481 0.2446
0.5000 0.5000 0.5000
```

---

# 26
Ni2Rh: relaxed, GGA-PBEsol.

Calculated values
symmetry	C2/c, No. 15
spin magnetization	3.62	Bohr magnetons per cell
crystal system	monoclinic
raw total energy	-6.78	eV per atom
E_form	0.037	eV per atom
D(E_F)	9.82	states/eV/cell

```
Ni2Rh
1.0
2.2001 -3.7858 0.0000
2.2001 3.7858 0.0000
-1.5161 0.0000 4.1616
Ni Rh
4 2
direct
0.0824 0.9176 0.7500
0.2479 0.7521 0.2500
0.7521 0.2479 0.7500
0.9176 0.0824 0.2500
0.4138 0.5862 0.7500
0.5862 0.4138 0.2500
```

---

# 27
Ni2Rh3: relaxed, GGA-PBEsol.

Calculated values
symmetry	R-3m, No. 166
spin magnetization	1.57	Bohr magnetons per cell
energy above the lowest structure with this stoichiometry	29.1	meV per atom
crystal system	trigonal
raw total energy	-7.28	eV per atom
E_form	0.062	eV per atom
D(E_F)	8.23	states/eV/cell

```
Ni2Rh3
1.0
1.3126 0.7578 10.4153
-1.3126 0.7578 10.4153
0.0000 -1.5157 10.4153
Ni Rh
2 3
direct
0.1009 0.1009 0.1009
0.8991 0.8991 0.8991
0.2983 0.2983 0.2983
0.5000 0.5000 0.5000
0.7017 0.7017 0.7017
```

---

# 28
Ni2Rh: relaxed, GGA-PBEsol.

Calculated values
symmetry	P2_1/m, No. 11
spin magnetization	3.50	Bohr magnetons per cell
crystal system	monoclinic
raw total energy	-6.77	eV per atom
E_form	0.050	eV per atom
D(E_F)	9.99	states/eV/cell

```
Ni2Rh
1.0
4.3562 0.0000 0.0000
0.0000 2.5723 0.0000
-0.0638 0.0000 6.2020
Ni Rh
4 2
direct
0.0824 0.2500 0.1681
0.2438 0.7500 0.4944
0.7562 0.2500 0.5056
0.9176 0.7500 0.8319
0.4132 0.2500 0.8268
0.5868 0.7500 0.1732
```